[1]
YScAs3, relaxed, DFT PBE-GGA; polymorph energy (0 for the lowest one) = 0.529 eV per atom; ΔH_f (0 K) = 0.187 eV per atom; calculated density = 4.009 g cm⁻³; final energy = -5.162 eV/atom; total moment = 0.00 μB per formula unit
1.0
-3.8677 -0.5312 3.5787
3.6040 -0.1070 3.8791
-0.3168 5.2682 0.4396
As Sc Y
3 1 1
direct
0.5000 0.0000 0.0000
0.0000 0.0000 0.5000
0.0000 0.5000 0.0000
0.5000 0.5000 0.5000
0.0000 0.0000 0.0000


[2]
YSc2As, relaxed, DFT PBE-GGA; ΔH_f (0 K) = -0.531 eV per atom; calculated density = 4.527 g cm⁻³; final energy = -6.475 eV/atom; total moment = 0.00 μB per formula unit
1.0
3.5491 0.0000 0.0000
0.0000 3.5491 0.0000
0.0000 0.0000 7.3899
Sc Y As
2 1 1
direct
0.0000 0.0000 0.9458
0.0000 0.0000 0.5542
0.5000 0.5000 0.2500
0.5000 0.5000 0.7500


[3]
YSc2As, relaxed, DFT PBE-GGA; ΔH_f (0 K) = -0.433 eV per atom; calculated density = 4.823 g cm⁻³; final energy = -6.377 eV/atom; total moment = 0.00 μB per formula unit
1.0
4.4644 0.0000 0.0000
0.0000 4.4235 0.0000
0.0000 0.0000 4.4235
As Sc Y
1 2 1
direct
0.5000 0.0000 0.5000
0.0000 0.0000 0.0000
0.0000 0.5000 0.5000
0.5000 0.5000 0.0000


[4]
Y2ScAs, relaxed, DFT PBE-GGA; ΔH_f (0 K) = -0.654 eV per atom; calculated density = 4.857 g cm⁻³; final energy = -6.631 eV/atom; total moment = 0.00 μB per formula unit
1.0
-4.1916 -0.8322 -0.6666
0.6768 -0.1920 -4.0161
1.3908 -5.7537 -1.5625
As Sc Y
1 1 2
direct
0.0000 0.6982 0.4791
0.5000 0.5555 0.7635
0.5000 0.2728 0.3302
0.0000 0.9736 0.9273